Entry from Alexandria via LeMat-Bulk: an optimized crystal structure of CoRh3I (GGA-PBE).

Unit cell a=4.570 b=4.570 c=4.570 alpha=90.00 beta=90.00 gamma=90.00
Space group Pm-3m (No. 221)
Symmetry-distinct sites (fractional):
Co (0.000, 0.000, 0.000) [1 per cell]
Rh (0.000, 0.000, 0.500) [3 per cell]
I (0.500, 0.500, 0.500) [1 per cell]

Values from the calculation:
The energy relative to the elements, uncorrected comes out at 1.041 eV per atom.


Entry from Alexandria via LeMat-Bulk: an optimized crystal structure of Pm3Tm (GGA-PBE).

Unit cell a=5.764 b=9.921 c=5.895 alpha=90.00 beta=90.00 gamma=90.00
Space group Cmmm (No. 65)
Symmetry-distinct sites (fractional):
Pm (0.000, 0.000, 0.000) [2 per cell]
Pm (0.000, 0.333, 0.500) [4 per cell]
Tm (0.000, 0.000, 0.500) [2 per cell]

Values from the calculation:
For the formation energy from the elements, the calculation gives 2.875 eV/f.u.


Entry from Alexandria via LeMat-Bulk: an optimized crystal structure of Al2PbSe (GGA-PBE).

Unit cell a=3.633 b=5.404 c=4.913 alpha=90.00 beta=90.01 gamma=90.00
Space group Pm (No. 6)
Symmetry-distinct sites (fractional):
Al (0.000, 0.000, 0.000) [1 per cell]
Al (0.497, 0.500, 0.314) [1 per cell]
Pb (0.499, 0.000, 0.511) [1 per cell]
Se (0.997, 0.500, 0.966) [1 per cell]

Values from the calculation:
The energy relative to the elements, uncorrected comes out at -0.079 eV per atom.